Entry 1:
The following is a PBE calculation of KBiO4 after structural relaxation, from the Alexandria database.

Unit cell a=3.669 b=3.669 c=6.837 alpha=90.00 beta=90.00 gamma=90.00
Last column: magnetic moment on the atom in μB.
Fractional positions:
O (0.000, 0.500, 0.305)  0.45
O (0.500, 0.000, 0.695)  0.45
Bi (0.500, 0.500, 0.500)  -0.07
O (0.500, 0.000, 0.305)  0.45
K (0.000, 0.000, 0.000)  0.00
O (0.000, 0.500, 0.695)  0.45

## Properties
Total magnetic moment in μB per cell: 2.0
Formation energy without anion corrections in eV/atom: -0.49
Symmetry: P4/mmm, No. 123

Entry 2:
The following is a PBE calculation of KBi3O after structural relaxation, from the Alexandria database.

Unit cell a=5.979 b=5.979 c=5.979 alpha=90.00 beta=90.00 gamma=90.00
Fractional positions:
Bi (0.500, 0.000, 0.000)
O (0.500, 0.500, 0.500)
Bi (0.000, 0.000, 0.500)
K (0.000, 0.000, 0.000)
Bi (0.000, 0.500, 0.000)

## Properties
Total magnetic moment in μB per cell: 0.0
Distance to the lowest polymorph of the same formula in meV per atom: 1889
Formation energy without anion corrections in eV/atom: 1.66
Symmetry: Pm-3m, No. 221

Entry 3:
The following is a PBE calculation of K6BiO after structural relaxation, from the Alexandria database.

Unit cell a=7.022 b=7.022 c=9.033 alpha=105.28 beta=129.59 gamma=80.86
Fractional positions:
K (0.001, 0.940, 0.278)
O (0.000, 0.000, 0.000)
K (0.329, 0.723, 0.053)
K (0.338, 0.277, 0.278)
Bi (0.000, 0.500, 0.500)
K (0.671, 0.277, 0.947)
K (0.999, 0.060, 0.722)
K (0.662, 0.723, 0.722)

## Properties
Total magnetic moment in μB per cell: 0.0
Formation energy without anion corrections in eV/atom: -0.54
Symmetry: C2/m, No. 12

Entry 4:
The following is a PBE calculation of KBi2O after structural relaxation, from the Alexandria database.

Unit cell a=6.509 b=6.509 c=8.226 alpha=66.70 beta=66.70 gamma=90.00
Fractional positions:
Bi (0.375, 0.625, 0.750)
O (0.250, 0.750, 0.500)
Bi (0.875, 0.625, 0.750)
Bi (0.375, 0.625, 0.250)
K (0.000, 0.000, 0.000)
Bi (0.375, 0.125, 0.250)
O (0.500, 0.500, 0.000)
K (0.750, 0.250, 0.500)

## Properties
Total magnetic moment in μB per cell: 0.0
Formation energy without anion corrections in eV/atom: -0.38
Symmetry: I4_1/amd, No. 141

So what do the calculations give for DOS at the Fermi energy? Going down the list: 0.323 2.922 0.348 0.507 states/eV per atom.